(1)
Density functional theory data (PBE) for an optimized crystal structure of Zn2Pt.

Results
VASP energy = -38.61 eV for the cell shown
DFT formation energy = -0.36 eV/atom

Cell: 4.5191 8.3288 4.6891 Å, 90.00 90.00 90.00°
Space group Pmmn (No. 59, origin choice 2)
One atom of each set of equivalent atoms:
Zn  0.2500  0.0800  0.0960
Zn  0.2500  0.2500  0.5770
Zn  0.2500  0.7500  0.1042
Pt  0.2500  0.5818  0.6130



(2)
Density functional theory data (PBE) for an optimized crystal structure of Zr2ZnPt3.

Results
VASP energy = -42.10 eV for the cell shown
DFT formation energy = -0.93 eV/atom

Cell: 3.5167 3.5167 8.6109 Å, 90.00 90.00 90.00°
Space group P4mm (No. 99)
One atom of each set of equivalent atoms:
Zr  0.0000  0.0000  0.0000
Zr  0.5000  0.5000  0.4820
Zn  0.5000  0.5000  0.8131
Pt  0.0000  0.0000  0.3327
Pt  0.0000  0.0000  0.6710
Pt  0.5000  0.5000  0.1357



(3)
Density functional theory data (PBE) for an optimized crystal structure of ZrZnPt2.

Results
VASP energy = -97.51 eV for the cell shown
DFT formation energy = -0.61 eV/atom

Cell: 6.4551 6.4551 6.4551 Å, 90.00 90.00 90.00°
Space group F-43m (No. 216)
One atom of each set of equivalent atoms:
Zr  0.0000  0.0000  0.0000
Zn  0.2500  0.2500  0.7500
Pt  0.0000  0.0000  0.5000
Pt  0.2500  0.2500  0.2500



(4)
Density functional theory data (PBE) for an optimized crystal structure of ZrZnPt2.

Results
VASP energy = -51.00 eV for the cell shown
DFT formation energy = -0.89 eV/atom

Cell: 4.7260 5.7276 4.8915 Å, 90.00 90.00 90.00°
Space group Pmmn (No. 59, origin choice 2)
One atom of each set of equivalent atoms:
Zr  0.2500  0.2500  0.1646
Zn  0.2500  0.7500  0.2016
Pt  0.2500  0.5009  0.6824



(5)
Density functional theory data (PBE) for an optimized crystal structure of ZrZnPt2.

Results
VASP energy = -97.51 eV for the cell shown
DFT formation energy = -0.61 eV/atom

Cell: 6.4585 6.4585 6.4585 Å, 90.00 90.00 90.00°
Space group F-43m (No. 216)
One atom of each set of equivalent atoms:
Zr  0.0000  0.0000  0.0000
Zn  0.2500  0.2500  0.7500
Pt  0.0000  0.0000  0.5000
Pt  0.2500  0.2500  0.2500



(6)
Density functional theory data (PBE) for an optimized crystal structure of ZrPt8.

Results
VASP energy = -122.92 eV for the cell shown
DFT formation energy = -0.50 eV/atom

Cell: 8.4840 8.4840 3.9957 Å, 90.00 90.00 90.00°
Space group I4/mmm (No. 139)
One atom of each set of equivalent atoms:
Zr  0.0000  0.0000  0.0000
Pt  0.0000  0.3322  0.0000
Pt  0.1653  0.1653  0.5000